LiNdPa2Pt4 | PBE | relaxed

a = 4.8161 Å, b = 4.8161 Å, c = 9.0217 Å
α = 74.52°, β = 74.52°, γ = 60.00°
Closest atoms and distances in Å follow each position.
Fractional positions:
1 Li 0.5000 0.5000 0.5000  2 Pt 2.67
2 Nd 0.0000 0.0000 0.0000  8 Pt 3.08-3.22
3 Pa 0.7662 0.7662 0.7014  7 Pt 2.83-2.94
4 Pa 0.2338 0.2338 0.2986  7 Pt 2.83-2.94
5 Pt 0.3963 0.3963 0.8112  1 Li 2.67, 3 Pa 2.94
6 Pt 0.8804 0.8804 0.3587  4 Pa 2.83-2.94, 3 Li 3.03, 1 Nd 3.08, 3 Pt 3.14
7 Pt 0.1196 0.1196 0.6413  4 Pa 2.83-2.94, 3 Li 3.03, 1 Nd 3.08, 3 Pt 3.14
8 Pt 0.6037 0.6037 0.1888  1 Li 2.67, 3 Pa 2.94

Results
Energy of formation from the pure elements = -856 meV/atom
DOS at the Fermi energy = 8.5 states/eV per cell
Spin magnetization = 0.0 μB per formula unit